Entry 1:
A geometry-optimized H5SBr2 structure, computed with PBE. Values from VASP.

Cell and atoms, written as Quantum ESPRESSO input:
```
&SYSTEM
  ibrav = 0, nat = 8, ntyp = 3
/
ATOMIC_SPECIES
H 1.01 H.upf
Br 79.90 Br.upf
S 32.06 S.upf
CELL_PARAMETERS angstrom
5.484 -0.693 -0.063
-0.649 6.267 0.763
-2.395 -2.292 4.284
ATOMIC_POSITIONS crystal
H 0.123 0.897 0.195
H 0.154 0.916 0.832
H 0.012 0.456 0.509
H 0.544 0.583 0.100
H 0.781 0.895 0.849
Br 0.291 0.748 0.538
Br 0.803 0.249 0.501
S 0.070 0.033 0.031
```

Uncorrected energy = -2.962 eV/atom

***

Entry 2:
A geometry-optimized BeCo2Se structure, computed with PBE. Values from VASP.

Cell and atoms, written as Quantum ESPRESSO input:
```
&SYSTEM
  ibrav = 0, nat = 8, ntyp = 3
/
ATOMIC_SPECIES
Co 58.93 Co.upf
Se 78.96 Se.upf
Be 9.01 Be.upf
CELL_PARAMETERS angstrom
3.583 0.000 0.000
0.000 3.583 0.000
1.791 1.791 7.667
ATOMIC_POSITIONS crystal
Co 0.138 0.625 0.250
Co 0.875 0.862 0.750
Co 0.375 0.388 0.750
Co 0.612 0.125 0.250
Se 0.000 0.000 0.000
Se 0.750 0.250 0.500
Be 0.250 0.750 0.500
Be 0.500 0.500 0.000
```

Formation energy without anion corrections = 1.0 eV per formula unit
Excess energy over the best structure of this formula in the dataset = 166 meV per atom

***

Entry 3:
A geometry-optimized ScTl2RhO6 structure, computed with PBE. Values from VASP.

Cell and atoms, written as Quantum ESPRESSO input:
```
&SYSTEM
  ibrav = 0, nat = 10, ntyp = 4
/
ATOMIC_SPECIES
O 16.00 O.upf
Tl 204.38 Tl.upf
Sc 44.96 Sc.upf
Rh 102.91 Rh.upf
CELL_PARAMETERS angstrom
5.611 0.000 0.000
2.806 4.859 0.000
2.806 1.620 4.678
ATOMIC_POSITIONS crystal
O 0.091 0.454 0.786
O 0.454 0.669 0.786
O 0.576 0.180 0.276
O 0.669 0.091 0.786
O 0.180 0.968 0.276
O 0.968 0.576 0.276
Tl 0.552 0.552 0.345
Tl 0.041 0.041 0.878
Sc 0.813 0.813 0.562
Rh 0.318 0.318 0.045
```

Formation energy without anion corrections = -13.6 eV per formula unit

***

Entry 4:
A geometry-optimized K2ScW structure, computed with PBE. Values from VASP.

Cell and atoms, written as Quantum ESPRESSO input:
```
&SYSTEM
  ibrav = 0, nat = 4, ntyp = 3
/
ATOMIC_SPECIES
W 183.84 W.upf
K 39.10 K.upf
Sc 44.96 Sc.upf
CELL_PARAMETERS angstrom
-1.588 -2.165 1.264
1.738 -0.968 -2.202
9.645 -2.095 8.533
ATOMIC_POSITIONS crystal
W 0.500 0.500 0.750
K 0.000 0.000 0.518
K 0.000 0.000 0.982
Sc 0.500 0.500 0.250
```

Formation energy = 1.302 eV per atom
Excess energy over the best structure of this formula in the dataset = 412 meV per atom

***

Entry 5:
A geometry-optimized RbTl9Pt2 structure, computed with PBE. Values from VASP.

Cell and atoms, written as Quantum ESPRESSO input:
```
&SYSTEM
  ibrav = 0, nat = 12, ntyp = 3
/
ATOMIC_SPECIES
Tl 204.38 Tl.upf
Pt 195.08 Pt.upf
Rb 85.47 Rb.upf
CELL_PARAMETERS angstrom
4.632 0.000 0.000
0.000 9.557 0.000
0.000 -4.779 8.277
ATOMIC_POSITIONS crystal
Tl 0.000 0.500 0.000
Tl 0.000 0.500 0.500
Tl 0.500 0.792 0.583
Tl 0.500 0.208 0.792
Tl 0.000 0.000 0.500
Tl 0.500 0.417 0.208
Tl 0.500 0.583 0.792
Tl 0.500 0.792 0.208
Tl 0.500 0.208 0.417
Pt 0.000 0.333 0.667
Pt 0.000 0.667 0.333
Rb 0.000 0.000 0.000
```

Formation energy = -0.085 eV per atom

***

Entry 6:
A geometry-optimized TbPm2Ga3 structure, computed with PBE. Values from VASP.

Cell and atoms, written as Quantum ESPRESSO input:
```
&SYSTEM
  ibrav = 0, nat = 6, ntyp = 3
/
ATOMIC_SPECIES
Ga 69.72 Ga.upf
Pm 145.00 Pm.upf
Tb 158.93 Tb.upf
CELL_PARAMETERS angstrom
3.633 0.000 0.000
0.000 3.633 0.000
0.000 0.000 10.976
ATOMIC_POSITIONS crystal
Ga 0.000 0.000 0.659
Ga 0.000 0.000 0.000
Ga 0.000 0.000 0.341
Pm 0.500 0.500 0.170
Pm 0.500 0.500 0.830
Tb 0.500 0.500 0.500
```

Formation energy = -0.576 eV per atom
Excess energy over the best structure of this formula in the dataset = 0 meV per atom

***

Entry 7:
A geometry-optimized NiMoH3 structure, computed with PBE. Values from VASP.

Cell and atoms, written as Quantum ESPRESSO input:
```
&SYSTEM
  ibrav = 0, nat = 5, ntyp = 3
/
ATOMIC_SPECIES
H 1.01 H.upf
Mo 95.94 Mo.upf
Ni 58.69 Ni.upf
CELL_PARAMETERS angstrom
3.426 0.000 0.000
0.000 3.426 0.000
0.000 0.000 3.426
ATOMIC_POSITIONS crystal
H 0.000 0.000 0.500
H 0.000 0.500 0.000
H 0.500 0.000 0.000
Mo 0.000 0.000 0.000
Ni 0.500 0.500 0.500
```

Excess energy over the best structure of this formula in the dataset = 301 meV per atom

***

Entry 8:
A geometry-optimized Co4BrCl structure, computed with PBE. Values from VASP.

Cell and atoms, written as Quantum ESPRESSO input:
```
&SYSTEM
  ibrav = 0, nat = 6, ntyp = 3
/
ATOMIC_SPECIES
Co 58.93 Co.upf
Cl 35.45 Cl.upf
Br 79.90 Br.upf
CELL_PARAMETERS angstrom
-0.256 -2.237 4.545
-2.153 2.423 3.901
-4.472 -1.571 1.805
ATOMIC_POSITIONS crystal
Co 0.124 0.625 0.625
Co 0.625 0.625 0.625
Co 0.625 0.625 0.124
Co 0.625 0.124 0.625
Cl 0.000 0.000 0.000
Br 0.250 0.250 0.250
```

Formation energy without anion corrections = 4.8 eV per formula unit

***

Entry 9:
A geometry-optimized Ti3MoI structure, computed with PBE. Values from VASP.

Cell and atoms, written as Quantum ESPRESSO input:
```
&SYSTEM
  ibrav = 0, nat = 5, ntyp = 3
/
ATOMIC_SPECIES
I 126.90 I.upf
Mo 95.94 Mo.upf
Ti 47.87 Ti.upf
CELL_PARAMETERS angstrom
-1.275 -4.304 1.801
1.481 -2.144 -4.075
4.424 -0.522 1.883
ATOMIC_POSITIONS crystal
I 0.000 0.000 0.000
Mo 0.500 0.500 0.500
Ti 0.000 0.500 0.000
Ti 0.000 0.000 0.500
Ti 0.500 0.000 0.000
```

Formation energy without anion corrections = 7.3 eV per formula unit
Excess energy over the best structure of this formula in the dataset = 667 meV per atom

***

Entry 10:
A geometry-optimized Pr2NdTh3S6 structure, computed with PBE. Values from VASP.

Cell and atoms, written as Quantum ESPRESSO input:
```
&SYSTEM
  ibrav = 0, nat = 12, ntyp = 4
/
ATOMIC_SPECIES
S 32.06 S.upf
Th 232.04 Th.upf
Pr 140.91 Pr.upf
Nd 144.24 Nd.upf
CELL_PARAMETERS angstrom
-3.662 4.505 -3.915
4.879 -4.022 -3.007
-4.995 -4.883 1.131
ATOMIC_POSITIONS crystal
S 0.916 0.585 0.748
S 0.415 0.084 0.252
S 0.247 0.247 0.746
S 0.084 0.415 0.252
S 0.585 0.916 0.748
S 0.753 0.753 0.254
Th 0.500 0.500 0.500
Th 0.832 0.168 0.500
Th 0.168 0.832 0.500
Pr 0.334 0.666 0.000
Pr 0.666 0.334 0.000
Nd 0.000 0.000 0.000
```

Formation energy without anion corrections = -23.0 eV per formula unit

***

Entry 11:
A geometry-optimized RbPbAu structure, computed with PBE. Values from VASP.

Cell and atoms, written as Quantum ESPRESSO input:
```
&SYSTEM
  ibrav = 0, nat = 6, ntyp = 3
/
ATOMIC_SPECIES
Au 196.97 Au.upf
Rb 85.47 Rb.upf
Pb 207.20 Pb.upf
CELL_PARAMETERS angstrom
3.868 0.000 0.008
0.000 7.053 -0.010
1.944 0.012 7.765
ATOMIC_POSITIONS crystal
Au 0.259 0.158 0.325
Au 0.259 0.704 0.325
Rb 0.923 0.931 0.998
Rb 0.082 0.431 0.680
Pb 0.658 0.931 0.523
Pb 0.835 0.431 0.176
```

Formation energy = -0.159 eV per atom
Excess energy over the best structure of this formula in the dataset = 33 meV per atom

***

Entry 12:
A geometry-optimized TlS4 structure, computed with PBE. Values from VASP.

Cell and atoms, written as Quantum ESPRESSO input:
```
&SYSTEM
  ibrav = 0, nat = 5, ntyp = 2
/
ATOMIC_SPECIES
S 32.06 S.upf
Tl 204.38 Tl.upf
CELL_PARAMETERS angstrom
4.910 0.280 0.212
-2.326 4.288 -0.215
0.348 -0.275 7.530
ATOMIC_POSITIONS crystal
S 0.624 0.378 0.445
S 0.376 0.622 0.555
S 0.614 0.387 0.181
S 0.386 0.613 0.819
Tl 0.000 0.000 0.000
```

Formation energy without anion corrections = -0.1 eV per formula unit
Excess energy over the best structure of this formula in the dataset = 0 meV per atom

***

Entry 13:
A geometry-optimized Tb4Pr5Sm2 structure, computed with PBE. Values from VASP.

Cell and atoms, written as Quantum ESPRESSO input:
```
&SYSTEM
  ibrav = 0, nat = 11, ntyp = 3
/
ATOMIC_SPECIES
Pr 140.91 Pr.upf
Sm 150.36 Sm.upf
Tb 158.93 Tb.upf
CELL_PARAMETERS angstrom
3.519 0.000 -0.664
-0.199 11.737 -1.053
-0.092 0.195 9.163
ATOMIC_POSITIONS crystal
Pr 0.823 0.929 0.647
Pr 0.904 0.464 0.808
Pr 0.096 0.536 0.192
Pr 0.177 0.071 0.353
Pr 0.500 0.000 0.000
Sm 0.716 0.354 0.433
Sm 0.284 0.646 0.567
Tb 0.640 0.797 0.280
Tb 0.966 0.740 0.932
Tb 0.360 0.203 0.720
Tb 0.034 0.260 0.068
```

Formation energy = 0.072 eV per atom
Excess energy over the best structure of this formula in the dataset = 0 meV per atom

***

Entry 14:
A geometry-optimized YOsPb2 structure, computed with PBE. Values from VASP.

Cell and atoms, written as Quantum ESPRESSO input:
```
&SYSTEM
  ibrav = 0, nat = 4, ntyp = 3
/
ATOMIC_SPECIES
Pb 207.20 Pb.upf
Os 190.23 Os.upf
Y 88.91 Y.upf
CELL_PARAMETERS angstrom
0.000 3.550 3.550
3.550 0.000 3.550
3.550 3.550 0.000
ATOMIC_POSITIONS crystal
Pb 0.250 0.250 0.250
Pb 0.750 0.750 0.750
Os 0.500 0.500 0.500
Y 0.000 0.000 0.000
```

Formation energy = 0.260 eV per atom
Excess energy over the best structure of this formula in the dataset = 120 meV per atom

***

Entry 15:
A geometry-optimized Dy2AsCl2 structure, computed with PBE. Values from VASP.

Cell and atoms, written as Quantum ESPRESSO input:
```
&SYSTEM
  ibrav = 0, nat = 5, ntyp = 3
/
ATOMIC_SPECIES
Dy 162.50 Dy.upf
Cl 35.45 Cl.upf
As 74.92 As.upf
CELL_PARAMETERS angstrom
-0.659 -3.898 0.715
2.125 -1.912 2.824
-7.840 0.984 9.425
ATOMIC_POSITIONS crystal
Dy 0.623 0.623 0.132
Dy 0.377 0.377 0.868
Cl 0.755 0.755 0.735
Cl 0.245 0.245 0.265
As 0.000 0.000 0.000
```

Formation energy without anion corrections = -9.4 eV per formula unit

***

Entry 16:
A geometry-optimized Sr2Cd2Pb structure, computed with PBE. Values from VASP.

Cell and atoms, written as Quantum ESPRESSO input:
```
&SYSTEM
  ibrav = 0, nat = 5, ntyp = 3
/
ATOMIC_SPECIES
Pb 207.20 Pb.upf
Sr 87.62 Sr.upf
Cd 112.41 Cd.upf
CELL_PARAMETERS angstrom
4.083 0.000 0.000
0.000 4.083 0.000
2.041 2.041 10.347
ATOMIC_POSITIONS crystal
Pb 0.000 0.000 0.000
Sr 0.397 0.397 0.207
Sr 0.603 0.603 0.793
Cd 0.250 0.750 0.500
Cd 0.750 0.250 0.500
```

Formation energy = -0.283 eV per atom
Excess energy over the best structure of this formula in the dataset = 106 meV per atom

***

Entry 17:
A geometry-optimized PdCBr2 structure, computed with PBE. Values from VASP.

Cell and atoms, written as Quantum ESPRESSO input:
```
&SYSTEM
  ibrav = 0, nat = 4, ntyp = 3
/
ATOMIC_SPECIES
Br 79.90 Br.upf
C 12.01 C.upf
Pd 106.42 Pd.upf
CELL_PARAMETERS angstrom
-5.346 4.631 -3.951
-6.316 5.030 -0.661
-3.729 6.926 -1.941
ATOMIC_POSITIONS crystal
Br 0.104 0.104 0.104
Br 0.896 0.896 0.896
C 0.500 0.500 0.500
Pd 0.000 0.000 0.000
```

Formation energy without anion corrections = 5.5 eV per formula unit
Excess energy over the best structure of this formula in the dataset = 14 meV per atom

***

Entry 18:
A geometry-optimized Tl2Cd4Pb structure, computed with PBE. Values from VASP.

Cell and atoms, written as Quantum ESPRESSO input:
```
&SYSTEM
  ibrav = 0, nat = 7, ntyp = 3
/
ATOMIC_SPECIES
Tl 204.38 Tl.upf
Cd 112.41 Cd.upf
Pb 207.20 Pb.upf
CELL_PARAMETERS angstrom
-2.859 1.453 0.944
-1.576 -3.036 -0.100
4.693 -1.031 15.804
ATOMIC_POSITIONS crystal
Tl 0.500 0.796 0.593
Tl 0.500 0.204 0.407
Cd 0.000 0.634 0.267
Cd 0.500 0.926 0.852
Cd 0.500 0.074 0.148
Cd 0.000 0.366 0.733
Pb 0.000 0.500 0.000
```

Formation energy = 0.036 eV per atom

***

Entry 19:
A geometry-optimized BaSiTc2 structure, computed with PBE. Values from VASP.

Cell and atoms, written as Quantum ESPRESSO input:
```
&SYSTEM
  ibrav = 0, nat = 4, ntyp = 3
/
ATOMIC_SPECIES
Ba 137.33 Ba.upf
Tc 98.00 Tc.upf
Si 28.09 Si.upf
CELL_PARAMETERS angstrom
-0.484 3.020 -1.018
-3.173 -0.549 -0.120
-3.845 1.819 7.222
ATOMIC_POSITIONS crystal
Ba 0.500 0.250 0.250
Tc 0.000 0.404 0.596
Tc 0.000 0.096 0.904
Si 0.500 0.750 0.750
```

Formation energy without anion corrections = 1.4 eV per formula unit

***

Record-wise calculated volume values, in Å³/cell: 155.1; 98.4; 127.6; 105.7; 366.4; 144.9; 40.2; 92.3; 113.2; 285.2; 211.7; 162.9; 378.5; 89.5; 168.9; 172.5; 81.1; 187.9; 80.4
Record-wise size of the total moment values, in μB per formula unit: 0.97; 1.25; 0.00; 0.00; 0.00; 0.00; 0.00; 9.16; 0.00; 0.00; 0.00; 0.00; 0.00; 0.00; 0.00; 0.00; 0.00; 0.00; 0.00